An optimized crystal structure of CuHg2Os. Source: Alexandria via LeMat-Bulk, functional PBE-GGA.

Unit cell a=4.6053 b=4.6053 c=4.6053 alpha=60.00 beta=60.00 gamma=60.00
Fractional coordinates of all 4 atoms:
Cu (0.5000, 0.5000, 0.5000)
Hg (0.0000, 0.0000, 0.0000)
Hg (0.7500, 0.7500, 0.7500)
Os (0.2500, 0.2500, 0.2500)

Values from the calculation:
The calculation puts the density of states at the Fermi level at 4.343 states/eV per cell. Its space group is F-43m (216). For the calculated formation energy, the calculation gives 85 kJ per mole of atoms. For the total moment, the calculation gives 0.000 μB per atom. The polymorph energy (0 for the lowest one) comes out at 288 meV per atom. The total DFT energy (no corrections) is -3.098 eV per atom.